Record 1
Entry from the Open Quantum Materials Database: a relaxed YBeBPt crystal (GGA-PBE).

Calculated values
ΔE to the lowest computed polymorph: 490 meV per atom
V: 14.7 A^3/atom

a b c (Å): 4.3675 4.3675 4.3675
angles (deg): 60.00 60.00 60.00
Element x y z (fractional)
B (0.5000, 0.5000, 0.5000)
Be (0.7500, 0.7500, 0.7500)
Pt (0.2500, 0.2500, 0.2500)
Y (0.0000, 0.0000, 0.0000)


Record 2
Entry from the Open Quantum Materials Database: a relaxed YBeBPt crystal (GGA-PBE).

Calculated values
ΔE to the lowest computed polymorph: 321 meV per atom
V: 15.3 A^3/atom

a b c (Å): 4.4230 4.4230 4.4230
angles (deg): 60.00 60.00 60.00
Element x y z (fractional)
B (0.0000, 0.0000, 0.0000)
Be (0.7500, 0.7500, 0.7500)
Pt (0.5000, 0.5000, 0.5000)
Y (0.2500, 0.2500, 0.2500)


Record 3
Entry from the Open Quantum Materials Database: a relaxed YBeBPt crystal (GGA-PBE).

Calculated values
ΔE to the lowest computed polymorph: 0 meV per atom
V: 13.6 A^3/atom

a b c (Å): 4.2548 4.2548 4.2548
angles (deg): 60.00 60.00 60.00
Element x y z (fractional)
B (0.2500, 0.2500, 0.2500)
Be (0.7500, 0.7500, 0.7500)
Pt (0.5000, 0.5000, 0.5000)
Y (0.0000, 0.0000, 0.0000)